1.
Here is crystalline Rb2NpCu2I6 at its relaxed geometry from Alexandria via LeMat-Bulk. Energies are from PBE-GGA.

Computed properties:
**Symmetry**: No. 12

Unit cell a=8.524 b=8.437 c=8.857 alpha=117.27 beta=90.00 gamma=120.34
Atoms (fractional coordinates):
Rb1 0.270 0.539 0.792
Rb2 0.730 0.461 0.208
Cu1 0.039 0.078 0.165
Cu2 0.961 0.922 0.835
I1 0.803 0.108 0.803
I2 0.695 0.892 0.197
I3 0.251 0.502 0.361
I4 0.197 0.892 0.197
I5 0.305 0.108 0.803
I6 0.749 0.498 0.639
Np1 0.500 0.000 0.500

2.
Here is crystalline NpTlCu2I8 at its relaxed geometry from Alexandria via LeMat-Bulk. Energies are from PBE-GGA.

Computed properties:
**Symmetry**: No. 12

Unit cell a=7.378 b=7.378 c=10.028 alpha=88.66 beta=88.66 gamma=69.09
Atoms (fractional coordinates):
I1 0.746 0.252 0.787
I2 0.755 0.755 0.012
I3 0.283 0.283 0.534
I4 0.254 0.748 0.213
I5 0.717 0.717 0.466
I6 0.748 0.254 0.213
I7 0.245 0.245 0.988
I8 0.252 0.746 0.787
Tl1 0.000 0.000 0.500
Cu1 0.359 0.359 0.763
Cu2 0.641 0.641 0.237
Np1 0.000 0.000 0.000

3.
Here is crystalline Cu3IO7 at its relaxed geometry from Alexandria via LeMat-Bulk. Energies are from PBE-GGA.

Computed properties:
**Symmetry**: No. 8

Unit cell a=5.404 b=5.404 c=7.714 alpha=52.17 beta=52.17 gamma=72.61
Atoms (fractional coordinates):
Cu1 0.765 0.229 0.520
Cu2 0.229 0.765 0.520
Cu3 0.507 0.507 0.997
O1 0.112 0.542 0.252
O2 0.962 0.962 0.680
O3 0.131 0.131 0.094
O4 0.568 0.568 0.375
O5 0.542 0.112 0.252
O6 0.451 0.901 0.758
O7 0.901 0.451 0.758
I1 0.957 0.957 0.045

4.
Here is crystalline Cu2IO at its relaxed geometry from Alexandria via LeMat-Bulk. Energies are from PBE-GGA.

Computed properties:
**ΔE to the lowest computed polymorph**: 0.285 eV/atom
**Symmetry**: No. 166

Unit cell a=3.438 b=3.438 c=7.114 alpha=76.02 beta=76.02 gamma=60.00
Atoms (fractional coordinates):
Cu1 0.125 0.125 0.624
Cu2 0.875 0.875 0.376
I1 0.000 0.000 0.000
O1 0.500 0.500 0.500

5.
Here is crystalline Cu2IO5 at its relaxed geometry from Alexandria via LeMat-Bulk. Energies are from PBE-GGA.

Computed properties:
**Symmetry**: No. 1

Unit cell a=5.562 b=5.260 c=5.234 alpha=106.69 beta=57.77 gamma=121.88
Atoms (fractional coordinates):
Cu1 0.554 0.659 0.777
Cu2 0.726 0.397 0.168
I1 0.102 0.028 0.972
O1 0.174 0.437 0.133
O2 0.924 0.618 0.812
O3 0.430 0.275 0.581
O4 0.746 0.028 0.972
O5 0.791 0.781 0.363

6.
Here is crystalline CuI3O at its relaxed geometry from Alexandria via LeMat-Bulk. Energies are from PBE-GGA.

Computed properties:
**ΔE to the lowest computed polymorph**: 0.179 eV/atom
**Symmetry**: No. 221

Unit cell a=5.285 b=5.285 c=5.285 alpha=90.00 beta=90.00 gamma=90.00
Atoms (fractional coordinates):
I1 0.500 0.000 0.000
I2 0.000 0.000 0.500
I3 0.000 0.500 0.000
Cu1 0.000 0.000 0.000
O1 0.500 0.500 0.500

7.
Here is crystalline Cu2IO3 at its relaxed geometry from Alexandria via LeMat-Bulk. Energies are from PBE-GGA.

Computed properties:
**Symmetry**: No. 11

Unit cell a=5.738 b=5.815 c=6.509 alpha=71.02 beta=90.00 gamma=90.00
Atoms (fractional coordinates):
O1 0.250 0.002 0.797
O2 0.502 0.341 0.913
O3 0.998 0.341 0.913
O4 0.002 0.659 0.087
O5 0.750 0.998 0.203
O6 0.498 0.659 0.087
Cu1 0.250 0.503 0.994
Cu2 0.000 0.000 0.000
Cu3 0.500 0.000 0.000
Cu4 0.750 0.497 0.006
I1 0.250 0.261 0.501
I2 0.750 0.739 0.499

8.
Here is crystalline Cu3IO at its relaxed geometry from Alexandria via LeMat-Bulk. Energies are from PBE-GGA.

Computed properties:
**ΔE to the lowest computed polymorph**: 0.000 eV/atom
**Symmetry**: No. 221

Unit cell a=4.226 b=4.226 c=4.226 alpha=90.00 beta=90.00 gamma=90.00
Atoms (fractional coordinates):
I1 0.500 0.500 0.500
Cu1 0.000 0.000 0.500
Cu2 0.000 0.500 0.000
Cu3 0.500 0.000 0.000
O1 0.000 0.000 0.000

Number 1: energy -40.16 eV/f.u., formation energy without anion corrections -7.789 eV/f.u.. Number 2: energy -41.27 eV/f.u., formation energy without anion corrections -5.371 eV/f.u.. Number 3: energy -52.12 eV/f.u., formation energy without anion corrections -3.577 eV/f.u.. Number 4: energy -14.58 eV/f.u., formation energy without anion corrections 0.118 eV/f.u.. Number 5: energy -36.63 eV/f.u., formation energy without anion corrections -2.098 eV/f.u.. Number 6: energy -9.45 eV/f.u., formation energy without anion corrections 4.255 eV/f.u.. Number 7: energy -26.66 eV/f.u., formation energy without anion corrections -2.045 eV/f.u.. Number 8: energy -18.61 eV/f.u., formation energy without anion corrections 0.185 eV/f.u..